DFT (PBE-GGA) results for crystalline Na2MgSiO4 at its relaxed geometry.

Geometry as POSCAR:
```
Na2MgSiO4
1.0
5.944 0.000 0.000
0.000 5.944 0.000
0.000 0.000 5.277
Na Mg Si O
4 2 2 8
Cartesian
0.000 2.972 0.000 Na
0.000 2.972 2.639 Na
2.972 0.000 0.000 Na
2.972 0.000 2.639 Na
0.000 0.000 0.000 Mg
2.972 2.972 2.639 Mg
0.000 0.000 2.639 Si
2.972 2.972 0.000 Si
0.910 0.910 1.581 O
0.910 5.034 3.697 O
2.062 2.062 4.220 O
2.062 3.882 1.058 O
3.882 2.062 1.058 O
3.882 3.882 4.220 O
5.034 0.910 3.697 O
5.034 5.034 1.581 O
```

- formation energy from raw total energies (meV per atom) = -2250